Below is an optimized crystal structure of BPPtO, with properties calculated at the PBE level.

Structure (POSCAR):
```
BPPtO
1.0
2.645 0.000 0.000
0.000 6.405 0.000
0.000 0.000 5.759
B P Pt O
2 2 2 2
direct
0.000 0.115 0.000 B
0.000 0.885 0.500 B
0.000 0.164 0.347 P
0.000 0.836 0.847 P
0.500 0.448 0.409 Pt
0.500 0.552 0.909 Pt
0.500 0.206 0.912 O
0.500 0.794 0.412 O
```

Properties
- crystal system = orthorhombic
- energy above the lowest structure with this stoichiometry (meV per atom) = 156
- total magnetic moment (μB per formula unit) = 0.0